The following is a DFT calculation (PBE) of a relaxed CaInCo3 crystal.

abc: 4.533 4.533 4.533
angles: 90.00 90.00 90.00
Last column: magnetic moment on the atom in μB.
Fractional positions:
Ca: 0.000 0.000 0.000  -0.14
Co: 0.000 0.500 0.000  1.08
Co: 0.000 0.000 0.500  1.18
Co: 0.500 0.000 0.000  1.10
In: 0.500 0.500 0.500  -0.03

Values from the calculation:
The relative energy among the computed polymorphs is 604 meV per atom. The symmetry is Pm-3m (221). Its density of states at the Fermi level is 2.338 states/eV per atom.

The following is a DFT calculation (PBE) of a relaxed FeBiTe crystal.

abc: 3.625 5.709 6.528
angles: 90.00 90.00 90.00
Last column: magnetic moment on the atom in μB.
Fractional positions:
Fe: 0.500 0.771 0.003  0.95
Fe: 0.000 0.229 0.503  0.95
Te: 0.000 0.047 0.146  -0.04
Te: 0.500 0.953 0.646  -0.04
Bi: 0.000 0.464 0.852  -0.06
Bi: 0.500 0.536 0.352  -0.06

Values from the calculation:
The symmetry is Pmn2_1 (31). Its uncorrected formation energy is 0.04 eV/atom. Its density of states at the Fermi level is 0.422 states/eV per atom.

The following is a DFT calculation (PBE) of a relaxed TbSmTh2As4 crystal.

abc: 4.226 7.277 7.319
angles: 70.34 90.00 90.00
Fractional positions:
Tb: 0.500 0.500 0.000
Sm: 0.000 0.500 0.500
Th: 0.000 0.000 0.000
Th: 0.500 0.000 0.500
As: 0.000 0.746 0.754
As: 0.000 0.254 0.246
As: 0.500 0.747 0.249
As: 0.500 0.253 0.751

Values from the calculation:
The symmetry is P2/m (10). The calculation puts the raw total energy at -6.823 eV per atom. Its density of states at the Fermi level is 0.498 states/eV per atom.

The following is a DFT calculation (PBE) of a relaxed Ho2CdHg6 crystal.

abc: 5.936 8.768 6.061
angles: 136.33 92.02 90.00
Fractional positions:
Ho: 0.678 0.674 0.348
Ho: 0.322 0.326 0.652
Cd: 0.000 0.000 0.000
Hg: 0.168 0.502 0.334
Hg: 0.832 0.167 0.666
Hg: 0.832 0.498 0.666
Hg: 0.500 0.165 0.000
Hg: 0.168 0.833 0.334
Hg: 0.500 0.835 0.000

Values from the calculation:
The relative energy among the computed polymorphs is 39 meV per atom. The symmetry is C2/m (12). Its density of states at the Fermi level is 0.524 states/eV per atom.

The following is a DFT calculation (PBE) of a relaxed Ho3CdPd4 crystal.

abc: 3.723 6.599 8.270
angles: 113.54 103.01 90.00
Fractional positions:
Ho: 0.000 0.500 0.000
Ho: 0.194 0.194 0.388
Ho: 0.806 0.806 0.612
Cd: 0.500 0.000 0.000
Pd: 0.370 0.574 0.740
Pd: 0.630 0.426 0.260
Pd: 0.630 0.833 0.260
Pd: 0.370 0.167 0.740

Values from the calculation:
The relative energy among the computed polymorphs is 141 meV per atom. The symmetry is Immm (71). Its density of states at the Fermi level is 0.558 states/eV per atom.

The following is a DFT calculation (PBE) of a relaxed Ta3CoH6 crystal.

abc: 4.382 6.103 6.103
angles: 96.10 90.00 90.00
Fractional positions:
Ta: 0.460 0.898 0.656
Ta: 0.960 0.656 0.898
Ta: 0.466 0.371 0.629
Ta: 0.966 0.629 0.371
Ta: 0.960 0.102 0.344
Ta: 0.460 0.344 0.102
Co: 0.970 0.146 0.854
Co: 0.470 0.854 0.146
H: 0.214 0.639 0.635
H: 0.714 0.635 0.639
H: 0.174 0.381 0.871
H: 0.674 0.871 0.381
H: 0.247 0.019 0.981
H: 0.607 0.178 0.822
H: 0.107 0.822 0.178
H: 0.747 0.981 0.019
H: 0.174 0.129 0.619
H: 0.674 0.619 0.129
H: 0.214 0.365 0.361
H: 0.714 0.361 0.365

Values from the calculation:
The symmetry is Cmc2_1 (36). The calculation puts the raw total energy at -6.339 eV per atom. Its density of states at the Fermi level is 0.229 states/eV per atom.